1.
# MnH8SN2O4F3

A PBEsol-optimized structure of MnH8SN2O4F3 (meta-GGA SCAN, Alexandria).

As for the raw total energy: -541.77 eV/cell. For the density of states at the Fermi level, the calculation gives 0.000 states/eV/atom.

Lattice parameters (Å, degrees): 7.466 10.976 8.733 90.00 92.75 90.00
Space group P2_1/c (No. 14)
Asymmetric unit:
Mn: 0.000 0.000 0.000 [2 per cell]
Mn: 0.500 0.000 0.000 [2 per cell]
H: 0.042 0.154 0.353 [4 per cell]
H: 0.176 0.225 0.818 [4 per cell]
H: 0.216 0.135 0.240 [4 per cell]
H: 0.244 0.658 0.930 [4 per cell]
H: 0.253 0.157 0.432 [4 per cell]
H: 0.258 0.638 0.737 [4 per cell]
H: 0.318 0.726 0.321 [4 per cell]
H: 0.446 0.648 0.850 [4 per cell]
S: 0.252 0.001 0.699 [4 per cell]
N: 0.174 0.181 0.335 [4 per cell]
N: 0.314 0.680 0.834 [4 per cell]
O: 0.117 0.065 0.789 [4 per cell]
O: 0.168 0.598 0.106 [4 per cell]
O: 0.346 0.088 0.604 [4 per cell]
O: 0.388 0.562 0.309 [4 per cell]
F: 0.033 0.658 0.450 [4 per cell]
F: 0.235 0.004 0.104 [4 per cell]
F: 0.472 0.156 0.939 [4 per cell]

2.
# Zn3SnAu

A PBEsol-optimized structure of Zn3SnAu (meta-GGA SCAN, Alexandria).

As for the raw total energy: -142.45 eV/cell. For the density of states at the Fermi level, the calculation gives 0.359 states/eV/atom. For the calculated formation energy, the calculation gives 306 kJ/mol of formula units.

Lattice parameters (Å, degrees): 5.018 5.018 5.018 90.00 90.00 90.00
Space group Pm-3m (No. 221)
Asymmetric unit:
Zn: 0.000 0.000 0.500 [3 per cell]
Sn: 0.000 0.000 0.000 [1 per cell]
Au: 0.500 0.500 0.500 [1 per cell]

3.
# MnMoO4

A PBEsol-optimized structure of MnMoO4 (meta-GGA SCAN, Alexandria).

As for the raw total energy: -728.67 eV/cell. The formation energy (no corrections) comes out at -2.17 eV/atom.

Lattice parameters (Å, degrees): 10.391 9.388 7.099 90.00 107.20 90.00
Space group C2/m (No. 12)
Asymmetric unit:
Mn: 0.000 0.184 0.000 [4 per cell]
Mn: 0.206 0.000 0.363 [4 per cell]
Mo: 0.000 0.249 0.500 [4 per cell]
Mo: 0.232 0.500 0.095 [4 per cell]
O: 0.042 0.152 0.305 [8 per cell]
O: 0.135 0.346 0.029 [8 per cell]
O: 0.141 0.000 0.039 [4 per cell]
O: 0.141 0.355 0.608 [8 per cell]
O: 0.197 0.000 0.646 [4 per cell]

4.
# CuSi2Sb

A PBEsol-optimized structure of CuSi2Sb (meta-GGA SCAN, Alexandria).

As for the raw total energy: -213.54 eV/cell. The formation energy (no corrections) comes out at 0.33 eV/atom. For the density of states at the Fermi level, the calculation gives 0.387 states/eV/atom.

Lattice parameters (Å, degrees): 3.7210 3.7210 17.4288 90.00 90.00 120.00
Space group R3m (No. 160, hexagonal axes)
Asymmetric unit:
Cu: 0.0000 0.0000 0.0000 [3 per cell]
Si: 0.0000 0.0000 0.4673 [3 per cell]
Si: 0.0000 0.0000 0.7336 [3 per cell]
Sb: 0.0000 0.0000 0.2442 [3 per cell]

5.
# PPtRh2

A PBEsol-optimized structure of PPtRh2 (meta-GGA SCAN, Alexandria).

As for the raw total energy: -149.24 eV/cell. For the density of states at the Fermi level, the calculation gives 0.946 states/eV/atom. For the calculated formation energy, the calculation gives -106 kJ/mol of formula units.

Lattice parameters (Å, degrees): 3.108 3.624 5.155 90.00 106.28 90.00
Space group P2/m (No. 10)
Asymmetric unit:
P: 0.000 0.000 0.000 [1 per cell]
Pt: 0.000 0.000 0.500 [1 per cell]
Rh: 0.368 0.500 0.223 [2 per cell]

6.
# In2RePt

A PBEsol-optimized structure of In2RePt (meta-GGA SCAN, Alexandria).

As for the raw total energy: -207.19 eV/cell. For the density of states at the Fermi level, the calculation gives 0.438 states/eV/atom. As for the energy above the lowest structure with this stoichiometry: 84 meV/atom. For the calculated formation energy, the calculation gives 84 kJ/mol of formula units.

Lattice parameters (Å, degrees): 2.867 3.906 6.100 90.00 90.00 90.00
Space group Pmmm (No. 47)
Asymmetric unit:
In: 0.000 0.000 0.248 [2 per cell]
Re: 0.500 0.500 0.000 [1 per cell]
Pt: 0.500 0.500 0.500 [1 per cell]

7.
# LiIrF2

A PBEsol-optimized structure of LiIrF2 (meta-GGA SCAN, Alexandria).

As for the raw total energy: -265.38 eV/cell. The formation energy (no corrections) comes out at -1.97 eV/atom. For the density of states at the Fermi level, the calculation gives 0.514 states/eV/atom. As for the energy above the lowest structure with this stoichiometry: 0 meV/atom.

Lattice parameters (Å, degrees): 2.7083 2.7083 18.6714 90.00 90.00 120.00
Space group R-3m (No. 166, hexagonal axes)
Asymmetric unit:
Li: 0.0000 0.0000 0.0000 [3 per cell]
Ir: 0.0000 0.0000 0.5000 [3 per cell]
F: 0.0000 0.0000 0.3925 [6 per cell]

8.
# SrGa2S4

A PBEsol-optimized structure of SrGa2S4 (meta-GGA SCAN, Alexandria).

As for the raw total energy: -411.07 eV/cell. The formation energy (no corrections) comes out at -1.33 eV/atom. For the density of states at the Fermi level, the calculation gives 0.000 states/eV/atom.

Lattice parameters (Å, degrees): 5.980 10.334 10.407 90.00 90.00 90.00
Space group Cccm (No. 66)
Asymmetric unit:
Sr: 0.000 0.000 0.250 [4 per cell]
Ga: 0.001 0.264 0.000 [8 per cell]
S: 0.231 0.083 0.500 [8 per cell]
S: 0.250 0.250 0.167 [8 per cell]

9.
# ZnAgAu2

A PBEsol-optimized structure of ZnAgAu2 (meta-GGA SCAN, Alexandria).

As for the raw total energy: -367.57 eV/cell. For the density of states at the Fermi level, the calculation gives 0.266 states/eV/atom. For the calculated formation energy, the calculation gives -57 kJ/mol of formula units.

Lattice parameters (Å, degrees): 4.072 4.072 7.738 90.00 90.00 90.00
Space group I4/mmm (No. 139)
Asymmetric unit:
Zn: 0.000 0.000 0.000 [2 per cell]
Ag: 0.000 0.000 0.500 [2 per cell]
Au: 0.000 0.500 0.250 [4 per cell]

10.
# Ba2Mn3Sb2O2

A PBEsol-optimized structure of Ba2Mn3Sb2O2 (meta-GGA SCAN, Alexandria).

As for the raw total energy: -465.56 eV/cell. The formation energy (no corrections) comes out at -1.33 eV/atom. For the density of states at the Fermi level, the calculation gives 0.548 states/eV/atom.

Lattice parameters (Å, degrees): 4.057 4.057 21.421 90.00 90.00 90.00
Space group I4/mmm (No. 139)
Asymmetric unit:
Ba: 0.000 0.000 0.086 [4 per cell]
Mn: 0.000 0.000 0.500 [2 per cell]
Mn: 0.000 0.500 0.250 [4 per cell]
Sb: 0.000 0.000 0.324 [4 per cell]
O: 0.000 0.500 0.000 [4 per cell]

11.
# InTcCl2

A PBEsol-optimized structure of InTcCl2 (meta-GGA SCAN, Alexandria).

As for the raw total energy: -253.27 eV/cell. The formation energy (no corrections) comes out at -0.01 eV/atom. For the density of states at the Fermi level, the calculation gives 0.554 states/eV/atom. As for the energy above the lowest structure with this stoichiometry: 257 meV/atom.

Lattice parameters (Å, degrees): 3.0248 3.0248 28.9135 90.00 90.00 120.00
Space group R-3m (No. 166, hexagonal axes)
Asymmetric unit:
In: 0.0000 0.0000 0.0000 [3 per cell]
Tc: 0.0000 0.0000 0.5000 [3 per cell]
Cl: 0.0000 0.0000 0.4232 [6 per cell]

12.
# YMgAs

A PBEsol-optimized structure of YMgAs (meta-GGA SCAN, Alexandria).

As for the raw total energy: -109.43 eV/cell. For the density of states at the Fermi level, the calculation gives 0.410 states/eV/atom. As for the energy above the lowest structure with this stoichiometry: 231 meV/atom. For the calculated formation energy, the calculation gives -165 kJ/mol of formula units.

Lattice parameters (Å, degrees): 3.569 3.569 10.687 90.00 90.00 90.00
Space group I4mm (No. 107)
Asymmetric unit:
Y: 0.000 0.000 0.000 [2 per cell]
Mg: 0.000 0.000 0.716 [2 per cell]
As: 0.000 0.000 0.351 [2 per cell]

13.
# Li6MnFe5B6O18

A PBEsol-optimized structure of Li6MnFe5B6O18 (meta-GGA SCAN, Alexandria).

As for the raw total energy: -716.66 eV/cell. The formation energy (no corrections) comes out at -2.18 eV/atom. For the density of states at the Fermi level, the calculation gives 0.009 states/eV/atom.

Lattice parameters (Å, degrees): 16.258 5.961 8.150 90.00 119.98 90.00
Space group Cm (No. 8)
Asymmetric unit:
Li: 0.000 0.248 0.000 [4 per cell]
Li: 0.137 0.250 0.589 [4 per cell]
Li: 0.293 0.250 0.313 [4 per cell]
Mn: 0.459 0.000 0.291 [2 per cell]
Fe: 0.146 0.500 0.941 [2 per cell]
Fe: 0.147 0.000 0.940 [2 per cell]
Fe: 0.323 0.000 0.666 [2 per cell]
Fe: 0.323 0.500 0.666 [2 per cell]
Fe: 0.462 0.500 0.297 [2 per cell]
B: 0.143 0.000 0.299 [2 per cell]
B: 0.144 0.500 0.302 [2 per cell]
B: 0.310 0.252 0.965 [4 per cell]
B: 0.476 0.252 0.635 [4 per cell]
O: 0.075 0.250 0.742 [4 per cell]
O: 0.088 0.500 0.106 [2 per cell]
O: 0.089 0.000 0.104 [2 per cell]
O: 0.099 0.000 0.408 [2 per cell]
O: 0.103 0.500 0.414 [2 per cell]
O: 0.241 0.000 0.387 [2 per cell]
O: 0.242 0.500 0.385 [2 per cell]
O: 0.250 0.251 0.042 [4 per cell]
O: 0.271 0.249 0.770 [4 per cell]
O: 0.407 0.258 0.083 [4 per cell]
O: 0.423 0.250 0.725 [4 per cell]
O: 0.431 0.255 0.440 [4 per cell]

14.
# ScMn2Ir

A PBEsol-optimized structure of ScMn2Ir (meta-GGA SCAN, Alexandria).

As for the raw total energy: -123.75 eV/cell. For the density of states at the Fermi level, the calculation gives 0.802 states/eV/atom. As for the energy above the lowest structure with this stoichiometry: 0 meV/atom. For the calculated formation energy, the calculation gives -184 kJ/mol of formula units.

Lattice parameters (Å, degrees): 3.791 3.791 3.966 90.00 90.00 90.00
Space group P4/mmm (No. 123)
Asymmetric unit:
Sc: 0.000 0.000 0.000 [1 per cell]
Mn: 0.000 0.500 0.500 [2 per cell]
Ir: 0.500 0.500 0.000 [1 per cell]

15.
# Sr3CaTi4O12

A PBEsol-optimized structure of Sr3CaTi4O12 (meta-GGA SCAN, Alexandria).

As for the raw total energy: -568.90 eV/cell. The formation energy (no corrections) comes out at -3.45 eV/atom. For the density of states at the Fermi level, the calculation gives 0.000 states/eV/atom.

Lattice parameters (Å, degrees): 9.474 5.507 9.471 90.00 109.28 90.00
Space group C2 (No. 5)
Asymmetric unit:
Sr: 0.000 0.000 0.000 [2 per cell]
Sr: 0.250 0.004 0.750 [4 per cell]
Ca: 0.000 0.492 0.500 [2 per cell]
Ti: 0.125 0.499 0.873 [4 per cell]
Ti: 0.126 0.998 0.376 [4 per cell]
O: 0.000 0.462 0.000 [2 per cell]
O: 0.000 0.934 0.500 [2 per cell]
O: 0.013 0.259 0.733 [4 per cell]
O: 0.013 0.757 0.239 [4 per cell]
O: 0.227 0.268 0.511 [4 per cell]
O: 0.240 0.757 0.011 [4 per cell]
O: 0.249 0.052 0.251 [4 per cell]

16.
# Be2SbAs

A PBEsol-optimized structure of Be2SbAs (meta-GGA SCAN, Alexandria).

As for the raw total energy: -129.45 eV/cell. The formation energy (no corrections) comes out at 0.36 eV/atom. For the density of states at the Fermi level, the calculation gives 0.335 states/eV/atom.

Lattice parameters (Å, degrees): 3.380 3.412 11.121 90.00 90.00 90.00
Space group Imm2 (No. 44)
Asymmetric unit:
Be: 0.000 0.000 0.000 [2 per cell]
Be: 0.000 0.500 0.340 [2 per cell]
Sb: 0.000 0.000 0.631 [2 per cell]
As: 0.000 0.500 0.863 [2 per cell]

17.
# TiAgAsSe2

A PBEsol-optimized structure of TiAgAsSe2 (meta-GGA SCAN, Alexandria).

As for the raw total energy: -104.79 eV/cell. The formation energy (no corrections) comes out at 0.59 eV/atom. For the density of states at the Fermi level, the calculation gives 0.614 states/eV/atom.

Lattice parameters (Å, degrees): 4.938 4.938 4.824 90.00 90.00 90.00
Space group P4/mmm (No. 123)
Asymmetric unit:
Ti: 0.000 0.000 0.000 [1 per cell]
Ag: 0.500 0.500 0.500 [1 per cell]
As: 0.500 0.500 0.000 [1 per cell]
Se: 0.000 0.500 0.500 [2 per cell]

18.
# Li2CoAg

A PBEsol-optimized structure of Li2CoAg (meta-GGA SCAN, Alexandria).

As for the raw total energy: -207.71 eV/cell. For the density of states at the Fermi level, the calculation gives 0.435 states/eV/atom. For the calculated formation energy, the calculation gives 147 kJ/mol of formula units.

Lattice parameters (Å, degrees): 6.683 6.683 5.081 90.00 90.00 90.00
Space group I-42d (No. 122)
Asymmetric unit:
Li: 0.240 0.750 0.125 [8 per cell]
Co: 0.000 0.000 0.000 [4 per cell]
Ag: 0.000 0.000 0.500 [4 per cell]

19.
# Sc2ReBr

A PBEsol-optimized structure of Sc2ReBr (meta-GGA SCAN, Alexandria).

As for the raw total energy: -118.01 eV/cell. The formation energy (no corrections) comes out at 0.25 eV/atom. For the density of states at the Fermi level, the calculation gives 0.967 states/eV/atom.

Lattice parameters (Å, degrees): 3.030 3.030 9.156 90.00 90.00 90.00
Space group P4mm (No. 99)
Asymmetric unit:
Sc: 0.000 0.000 0.000 [1 per cell]
Sc: 0.500 0.500 0.299 [1 per cell]
Re: 0.500 0.500 0.806 [1 per cell]
Br: 0.000 0.000 0.483 [1 per cell]

20.
# AlSb2Pt

A PBEsol-optimized structure of AlSb2Pt (meta-GGA SCAN, Alexandria).

As for the raw total energy: -307.88 eV/cell. The formation energy (no corrections) comes out at -0.37 eV/atom. For the density of states at the Fermi level, the calculation gives 0.489 states/eV/atom.

Lattice parameters (Å, degrees): 7.892 3.802 6.163 90.00 108.41 90.00
Space group Cm (No. 8)
Asymmetric unit:
Al: 0.000 0.000 0.000 [2 per cell]
Sb: 0.216 0.000 0.742 [2 per cell]
Sb: 0.475 0.000 0.356 [2 per cell]
Pt: 0.225 0.500 0.112 [2 per cell]

We obtain total magnetic moment values of 4.0, 0.0, 5.0, 0.0, 0.0, 0.0, 0.0, 0.0, 0.0, 11.9, 0.0, 0.0, 9.1, 7.6, 0.0, 0.0, 0.8, 1.9, 2.0, 0.0 μB/f.u. for the records listed above, in that order.